An optimized crystal structure of La4CuS7. Source: OQMD via LeMat-Bulk, functional PBE-GGA.

Summary:
Total DFT energy (no corrections) ... -73.0 eV per formula unit

a = 10.2599 Å, b = 6.0898 Å, c = 10.2619 Å
α = 90.00°, β = 119.95°, γ = 90.00°
Closest atoms and distances in Å follow each position.
Element x y z (fractional)
Cu  0.0000  0.2814  0.0000  3 S 2.28-2.29
Cu  0.0000  0.7814  0.0000  3 S 2.28-2.29
La  0.3587  0.2347  0.1616  5 S 2.81-3.04
La  0.8376  0.2351  0.1964  5 S 2.81-3.04
La  0.6669  0.6890  0.3344  4 S 2.73-2.86
La  0.1962  0.7342  0.3586  5 S 2.81-3.04
La  0.8038  0.2342  0.6414  5 S 2.81-3.04
La  0.3331  0.1890  0.6656  4 S 2.73-2.86
La  0.1623  0.7351  0.8036  5 S 2.80-3.04
La  0.6413  0.7347  0.8384  5 S 2.81-3.04
S  0.5293  0.4958  0.0425  3 La 2.85-3.17, 2 S 3.14
S  0.2566  0.7652  0.1179  1 Cu 2.29
S  0.8822  0.7655  0.1388  1 Cu 2.28
S  0.1387  0.2652  0.2565  1 Cu 2.29
S  0.6666  0.1372  0.3332  4 La 2.73-2.81
S  0.5124  0.4939  0.4728  4 La 2.86-3.20, 2 S 3.13
S  0.9596  0.4947  0.4873  3 La 2.86-3.18, 2 S 3.13
S  0.0404  0.9947  0.5127  3 La 2.86-3.18, 2 S 3.13
S  0.4876  0.9939  0.5272  4 La 2.86-3.20, 2 S 3.13
S  0.3334  0.6372  0.6668  4 La 2.73-2.81
S  0.8613  0.7652  0.7435  1 Cu 2.29
S  0.1178  0.2655  0.8612  1 Cu 2.28
S  0.7434  0.2652  0.8821  1 Cu 2.29
S  0.4707  0.9958  0.9575  3 La 2.85-3.17, 2 S 3.14